## Ac8ErTl6 (PBE-GGA)

Data for a relaxed structure of Ac8ErTl6.

Formation energy from the elements, kJ/mol of formula units: -230.6
E, eV per cell: -162.06

abc: 9.7882 9.7882 21.0606
angles: 90.00 90.00 120.00
Space group R-3 (No. 148, hexagonal axes)
Inequivalent atoms, fractional coordinates:
Ac1 0.0000 0.0000 0.1637 (multiplicity 6)
Ac2 0.0021 0.3410 0.3881 (multiplicity 18)
Er1 0.0000 0.0000 0.5000 (multiplicity 3)
Tl1 0.9995 0.3149 0.5560 (multiplicity 18)